[1]
This record from Alexandria describes AgRh2Br after structural relaxation. The functional is PBE.

Unit cell a=3.047 b=3.047 c=7.714 alpha=90.00 beta=90.00 gamma=90.00
Fractional coordinates of all 4 atoms:
Ag: 0.000 0.000 0.465
Br: 0.500 0.500 0.786
Rh: 0.500 0.500 0.221
Rh: 0.000 0.000 0.028

For the total moment, the calculation gives 0.0 μB per cell. Its uncorrected formation energy is 140 kJ/mol of formula units. The calculation puts the energy above the lowest structure with this stoichiometry at 59.2 meV per atom. Its symmetry is P4mm (99).


[2]
This record from Alexandria describes Pr6SiC2Br3 after structural relaxation. The functional is PBE.

Unit cell a=3.981 b=8.850 c=9.708 alpha=109.83 beta=101.83 gamma=90.00
Fractional coordinates of all 12 atoms:
Br: 0.836 0.169 0.672
Br: 0.164 0.831 0.328
Br: 0.500 0.500 0.000
Pr: 0.317 0.450 0.634
Pr: 0.026 0.249 0.052
Pr: 0.335 0.860 0.669
Pr: 0.683 0.550 0.366
Pr: 0.974 0.751 0.948
Pr: 0.665 0.140 0.331
C: 0.171 0.338 0.341
C: 0.829 0.662 0.659
Si: 0.500 0.000 0.000

For the total moment, the calculation gives 0.0 μB per cell. Its uncorrected formation energy is -1053 kJ/mol of formula units. Its symmetry is C2/m (12).


[3]
This record from Alexandria describes KBa3As after structural relaxation. The functional is PBE.

Unit cell a=6.402 b=6.402 c=6.402 alpha=90.00 beta=90.00 gamma=90.00
Site moments in Bohr magnetons follow the coordinates.
Fractional coordinates of all 5 atoms:
Ba: 0.000 0.000 0.500  0.20
Ba: 0.500 0.000 0.000  0.14
Ba: 0.000 0.500 0.000  0.16
K: 0.000 0.000 0.000  0.09
As: 0.500 0.500 0.500  -0.05

For the total moment, the calculation gives 1.7 μB per cell. The calculation puts the energy above the lowest structure with this stoichiometry at 1198.3 meV per atom. Its symmetry is Pm-3m (221). For the formation energy, the calculation gives 729.6 meV per atom.


[4]
This record from Alexandria describes Ca2SiGe4Pd3 after structural relaxation. The functional is PBE.

Unit cell a=4.126 b=4.126 c=11.179 alpha=90.00 beta=90.00 gamma=90.00
Fractional coordinates of all 10 atoms:
Ge: 0.500 0.500 0.000
Ge: 0.000 0.000 0.000
Ge: 0.000 0.500 0.360
Ge: 0.500 0.000 0.640
Ca: 0.500 0.000 0.251
Ca: 0.000 0.500 0.749
Si: 0.500 0.500 0.500
Pd: 0.000 0.000 0.500
Pd: 0.000 0.500 0.139
Pd: 0.500 0.000 0.861

For the total moment, the calculation gives 0.0 μB per cell. Its uncorrected formation energy is -539 kJ/mol of formula units. Its symmetry is P-4m2 (115).


Number 1: E_tot -17.8 eV for the cell shown, Fermi-level density of states 3.7 states/eV/f.u.. Number 2: E_tot -68.5 eV for the cell shown, Fermi-level density of states 5.3 states/eV/f.u.. Number 3: E_tot -7.9 eV for the cell shown, Fermi-level density of states 6.8 states/eV/f.u.. Number 4: E_tot -49.1 eV for the cell shown, Fermi-level density of states 5.1 states/eV/f.u..